# 1
5
Lattice="4.394 0.000 0.000 0.000 4.394 0.000 0.000 0.000 6.156" Properties=species:S:1:pos:R:3 comment="GGA+U LaVAgO2, optimized geometry" polymorph_energy_mev_per_atom=135.0 magmom_total_mub_per_cell=1.29 pbc="T T T"
La 0.000 0.000 0.000
V 2.197 2.197 3.078
Ag 0.000 0.000 3.078
O 0.000 2.197 0.000
O 2.197 0.000 0.000

=====

# 2
5
Lattice="4.318 0.000 0.000 0.000 4.318 0.000 0.000 0.000 7.865" Properties=species:S:1:pos:R:3 comment="GGA+U LaVAgO2, optimized geometry" polymorph_energy_mev_per_atom=0.0 magmom_total_mub_per_cell=3.95 pbc="T T T"
La 0.000 0.000 0.000
V 0.000 0.000 3.932
Ag 2.159 2.159 3.932
O 0.000 2.159 0.000
O 2.159 0.000 0.000

=====

# 3
10
Lattice="5.813 0.000 0.000 2.906 5.041 0.000 2.903 -1.667 4.967" Properties=species:S:1:pos:R:3 comment="GGA+U LaAg2WO6, optimized geometry" energy_ev_per_cell=-64.10 magmom_total_mub_per_cell=1.04 pbc="T T T"
La 0.000 0.000 0.000
Ag 5.804 0.006 3.699
Ag 5.809 3.362 0.752
W 2.904 1.683 2.471
O 4.455 1.801 3.777
O 3.582 3.174 1.486
O 3.856 0.369 1.472
O 7.843 2.971 3.779
O 8.037 0.277 3.754
O 7.098 1.539 1.472

=====

# 4
5
Lattice="4.334 0.000 0.000 0.000 4.334 0.000 0.000 0.000 4.987" Properties=species:S:1:pos:R:3 comment="GGA+U LaAgW2O, optimized geometry" energy_ev_per_cell=-26.43 magmom_total_mub_per_cell=2.27 pbc="T T T"
La 0.000 0.000 0.000
Ag 2.167 2.167 0.000
W 0.000 2.167 2.493
W 2.167 0.000 2.493
O 0.000 0.000 2.493